# Dy3Ho2In7 | Alexandria | PBE-GGA | optimized geometry
data_Dy3Ho2In7
_symmetry_space_group_name_H-M 'C m m m'
_symmetry_Int_Tables_number 65
_symmetry_space_group_name_Hall '-C 2 2'
_cell_length_a 4.8223
_cell_length_b 30.2370
_cell_length_c 4.6590
_cell_angle_alpha 90.00
_cell_angle_beta 90.00
_cell_angle_gamma 90.00
loop_
_atom_site_label
_atom_site_fract_x
_atom_site_fract_y
_atom_site_fract_z
Dy1 0.0000 0.0000 0.0000
Dy2 0.0000 0.1467 0.0000
Ho1 0.0000 0.3412 0.5000
In1 0.0000 0.0767 0.5000
In2 0.0000 0.2254 0.5000
In3 0.0000 0.4223 0.0000
In4 0.0000 0.5000 0.5000
# DOS(E_F), states/eV per cell: 17.20
# Raw total energy, eV/atom: -3.734


# NaMg6Pb4 | Alexandria | PBE-GGA | optimized geometry
data_NaMg6Pb4
_symmetry_space_group_name_H-M 'P -6 m 2'
_symmetry_Int_Tables_number 187
_symmetry_space_group_name_Hall 'P -6 2'
_cell_length_a 8.7242
_cell_length_b 8.7242
_cell_length_c 4.5458
_cell_angle_alpha 90.00
_cell_angle_beta 90.00
_cell_angle_gamma 120.00
loop_
_atom_site_label
_atom_site_fract_x
_atom_site_fract_y
_atom_site_fract_z
Na1 0.0000 0.0000 0.0000
Mg1 0.2021 0.4041 0.5000
Mg2 0.5360 0.0721 0.0000
Pb1 0.3333 0.6667 0.0000
Pb2 0.3774 0.1887 0.5000
# DOS(E_F), states/eV per cell: 3.27
# Raw total energy, eV/atom: -2.406


# ZnPtPb2 | Alexandria | PBE-GGA | optimized geometry
data_ZnPtPb2
_symmetry_space_group_name_H-M 'C 1 m 1'
_symmetry_Int_Tables_number 8
_symmetry_space_group_name_Hall 'C -2y'
_cell_length_a 7.5746
_cell_length_b 4.3642
_cell_length_c 6.5537
_cell_angle_alpha 90.00
_cell_angle_beta 112.62
_cell_angle_gamma 90.00
loop_
_atom_site_label
_atom_site_fract_x
_atom_site_fract_y
_atom_site_fract_z
Zn1 0.0000 0.0000 0.0000
Pt1 0.1632 0.5000 0.9883
Pb1 0.2363 0.0000 0.7066
Pb2 0.4283 0.0000 0.2881
# DOS(E_F), states/eV per cell: 3.24
# Raw total energy, eV/atom: -3.829


# MnZn2Pt2 | Alexandria | PBE-GGA | optimized geometry
data_MnZn2Pt2
_symmetry_space_group_name_H-M 'I 4/m m m'
_symmetry_Int_Tables_number 139
_symmetry_space_group_name_Hall '-I 4 2'
_cell_length_a 3.5321
_cell_length_b 3.5321
_cell_length_c 13.0447
_cell_angle_alpha 90.00
_cell_angle_beta 90.00
_cell_angle_gamma 90.00
loop_
_atom_site_label
_atom_site_fract_x
_atom_site_fract_y
_atom_site_fract_z
Mn1 0.0000 0.0000 0.0000
Zn1 0.0000 0.5000 0.2500
Pt1 0.0000 0.0000 0.3978
# DOS(E_F), states/eV per cell: 4.34
# Raw total energy, eV/atom: -4.982


# SrLiZnSn2 | Alexandria | PBE-GGA | optimized geometry
data_SrLiZnSn2
_symmetry_space_group_name_H-M 'I -4 m 2'
_symmetry_Int_Tables_number 119
_symmetry_space_group_name_Hall 'I -4 -2'
_cell_length_a 4.5966
_cell_length_b 4.5966
_cell_length_c 11.9117
_cell_angle_alpha 90.00
_cell_angle_beta 90.00
_cell_angle_gamma 90.00
loop_
_atom_site_label
_atom_site_fract_x
_atom_site_fract_y
_atom_site_fract_z
Sr1 0.0000 0.0000 0.0000
Li1 0.0000 0.5000 0.2500
Zn1 0.0000 0.5000 0.7500
Sn1 0.0000 0.0000 0.3793
# DOS(E_F), states/eV per cell: 2.58
# Raw total energy, eV/atom: -3.025


# Zr2CdOs | Alexandria | PBE-GGA | optimized geometry
data_Zr2CdOs
_symmetry_space_group_name_H-M 'P 4/m m m'
_symmetry_Int_Tables_number 123
_symmetry_space_group_name_Hall '-P 4 2'
_cell_length_a 4.8293
_cell_length_b 4.8293
_cell_length_c 3.3439
_cell_angle_alpha 90.00
_cell_angle_beta 90.00
_cell_angle_gamma 90.00
loop_
_atom_site_label
_atom_site_fract_x
_atom_site_fract_y
_atom_site_fract_z
Zr1 0.0000 0.5000 0.0000
Cd1 0.0000 0.0000 0.5000
Os1 0.5000 0.5000 0.5000
# DOS(E_F), states/eV per cell: 1.61
# Raw total energy, eV/atom: -7.508


# Tl4C3 | Alexandria | PBE-GGA | optimized geometry
data_Tl4C3
_symmetry_space_group_name_H-M 'P 6/m m m'
_symmetry_Int_Tables_number 191
_symmetry_space_group_name_Hall '-P 6 2'
_cell_length_a 4.5508
_cell_length_b 4.5508
_cell_length_c 8.8875
_cell_angle_alpha 90.00
_cell_angle_beta 90.00
_cell_angle_gamma 120.00
loop_
_atom_site_label
_atom_site_fract_x
_atom_site_fract_y
_atom_site_fract_z
Tl1 0.0000 0.0000 0.1925
Tl2 0.3333 0.6667 0.5000
C1 0.0000 0.5000 0.0000
# DOS(E_F), states/eV per cell: 5.13
# Raw total energy, eV/atom: -3.084


# ZrNb2TlO8 | Alexandria | PBE-GGA | optimized geometry
data_ZrNb2TlO8
_symmetry_space_group_name_H-M 'P -3 m 1'
_symmetry_Int_Tables_number 164
_symmetry_space_group_name_Hall '-P 3 2"'
_cell_length_a 6.0542
_cell_length_b 6.0542
_cell_length_c 6.7262
_cell_angle_alpha 90.00
_cell_angle_beta 90.00
_cell_angle_gamma 120.00
loop_
_atom_site_label
_atom_site_fract_x
_atom_site_fract_y
_atom_site_fract_z
Zr1 0.0000 0.0000 0.0000
Nb1 0.3333 0.6667 0.7214
Tl1 0.0000 0.0000 0.5000
O1 0.1586 0.3173 0.8065
O2 0.3333 0.6667 0.4572
# DOS(E_F), states/eV per cell: 3.42
# Raw total energy, eV/atom: -8.191


# Rb3MgSb2Se6 | Alexandria | PBE-GGA | optimized geometry
data_Rb3MgSb2Se6
_symmetry_space_group_name_H-M 'C 1 2/m 1'
_symmetry_Int_Tables_number 12
_symmetry_space_group_name_Hall '-C 2y'
_cell_length_a 7.2338
_cell_length_b 12.5239
_cell_length_c 8.3786
_cell_angle_alpha 90.00
_cell_angle_beta 106.71
_cell_angle_gamma 90.00
loop_
_atom_site_label
_atom_site_fract_x
_atom_site_fract_y
_atom_site_fract_z
Rb1 0.0000 0.0000 0.0000
Rb2 0.0000 0.3302 0.0000
Mg1 0.0000 0.5000 0.5000
Sb1 0.0000 0.1664 0.5000
Se1 0.2258 0.3375 0.6903
Se2 0.2385 0.0000 0.6915
# DOS(E_F), states/eV per cell: 14.89
# Raw total energy, eV/atom: -3.590


# Pm2TmPu | Alexandria | PBE-GGA | optimized geometry
data_Pm2TmPu
_symmetry_space_group_name_H-M 'R 3 m'
_symmetry_Int_Tables_number 160
_symmetry_space_group_name_Hall 'R 3 -2"'
_cell_length_a 3.5773
_cell_length_b 3.5773
_cell_length_c 34.4082
_cell_angle_alpha 90.00
_cell_angle_beta 90.00
_cell_angle_gamma 120.00
loop_
_atom_site_label
_atom_site_fract_x
_atom_site_fract_y
_atom_site_fract_z
Pm1 0.0000 0.0000 0.0000
Pm2 0.0000 0.0000 0.1675
Tm1 0.0000 0.0000 0.4172
Pu1 0.0000 0.0000 0.5838
# DOS(E_F), states/eV per cell: 35.07
# Raw total energy, eV/atom: -6.958


# AcBRh | Alexandria | PBE-GGA | optimized geometry
data_AcBRh
_symmetry_space_group_name_H-M 'C 1 m 1'
_symmetry_Int_Tables_number 8
_symmetry_space_group_name_Hall 'C -2y'
_cell_length_a 6.4299
_cell_length_b 3.7080
_cell_length_c 10.0924
_cell_angle_alpha 90.00
_cell_angle_beta 102.46
_cell_angle_gamma 90.00
loop_
_atom_site_label
_atom_site_fract_x
_atom_site_fract_y
_atom_site_fract_z
Ac1 0.0000 0.0000 0.0000
Ac2 0.1672 0.0000 0.4916
B1 0.4035 0.5000 0.6976
B2 0.4144 0.0000 0.2380
Rh1 0.0876 0.5000 0.7505
Rh2 0.2476 0.5000 0.2377
# DOS(E_F), states/eV per cell: 6.20
# Raw total energy, eV/atom: -6.360


# Ni4SbAs | Alexandria | PBE-GGA | optimized geometry
data_Ni4SbAs
_symmetry_space_group_name_H-M 'C 1 2/c 1'
_symmetry_Int_Tables_number 15
_symmetry_space_group_name_Hall '-C 2yc'
_cell_length_a 15.3642
_cell_length_b 5.3816
_cell_length_c 4.1763
_cell_angle_alpha 90.00
_cell_angle_beta 105.71
_cell_angle_gamma 90.00
loop_
_atom_site_label
_atom_site_fract_x
_atom_site_fract_y
_atom_site_fract_z
Ni1 0.0965 0.1474 0.3460
Ni2 0.1697 0.3555 0.9195
Sb1 0.0000 0.2603 0.7500
As1 0.2500 0.2500 0.5000
# DOS(E_F), states/eV per cell: 16.77
# Raw total energy, eV/atom: -5.458